Compound: Cr2SiAg
Source: Alexandria via LeMat-Bulk
Functional: PBEsol
Structure: optimized geometry

Values from the calculation:
space-group type: No. 166
mass density: 7.8 g/cm3
uncorrected energy: -7.076 eV/atom
E_form (uncorrected): 309.2 meV per atom
DOS(E_F): 4.0 states/eV/cell

Cell lengths 8.743, 8.743, 8.743 Å; angles 17.26, 17.26, 17.26 degrees
Fractional coordinates of all 4 atoms:
Cr1 0.243 0.243 0.243
Cr2 0.757 0.757 0.757
Si1 0.500 0.500 0.500
Ag1 0.000 0.000 0.000


Compound: Re3Sb
Source: Alexandria via LeMat-Bulk
Functional: PBEsol
Structure: optimized geometry

Values from the calculation:
space-group type: No. 71
mass density: 18.1 g/cm3
uncorrected energy: -10.582 eV/atom
E_form (uncorrected): 556.1 meV per atom
DOS(E_F): 2.7 states/eV/cell

Cell lengths 5.271, 5.271, 5.271 Å; angles 145.95, 129.54, 62.28 degrees
Fractional coordinates of all 4 atoms:
Re1 0.000 0.000 0.000
Re2 0.263 0.763 0.500
Re3 0.737 0.237 0.500
Sb1 0.500 0.500 0.000


What did the second record say?
Compound: Re3Sb
Source: Alexandria via LeMat-Bulk
Functional: PBEsol
Structure: optimized geometry

Values from the calculation:
space-group type: No. 71
mass density: 18.1 g/cm3
uncorrected energy: -10.582 eV/atom
E_form (uncorrected): 556.1 meV per atom
DOS(E_F): 2.7 states/eV/cell

Cell lengths 5.271, 5.271, 5.271 Å; angles 145.95, 129.54, 62.28 degrees
Fractional coordinates of all 4 atoms:
Re1 0.000 0.000 0.000
Re2 0.263 0.763 0.500
Re3 0.737 0.237 0.500
Sb1 0.500 0.500 0.000


Copy entry 2 word for word.
Compound: Re3Sb
Source: Alexandria via LeMat-Bulk
Functional: PBEsol
Structure: optimized geometry

Values from the calculation:
space-group type: No. 71
mass density: 18.1 g/cm3
uncorrected energy: -10.582 eV/atom
E_form (uncorrected): 556.1 meV per atom
DOS(E_F): 2.7 states/eV/cell

Cell lengths 5.271, 5.271, 5.271 Å; angles 145.95, 129.54, 62.28 degrees
Fractional coordinates of all 4 atoms:
Re1 0.000 0.000 0.000
Re2 0.263 0.763 0.500
Re3 0.737 0.237 0.500
Sb1 0.500 0.500 0.000


- Which of these has the highest E_form (uncorrected)?
  Re3Sb


- Look up the mass density of the first one.
  7.8 g/cm3